Below is crystalline Ba8Mn8O21 at its relaxed geometry, with properties calculated at the GGA+U level.

The structure in POSCAR format:
```
Ba8Mn8O21
1.0
-7.007 -6.433 1.251
3.149 -2.638 4.072
-4.111 5.855 7.077
O Mn Ba
21 8 8
direct
0.000 0.986 0.804
0.500 0.215 0.407
0.500 0.778 0.404
0.751 0.992 0.494
0.752 0.748 0.257
0.249 0.992 0.494
0.500 0.727 0.908
0.000 0.230 0.582
0.248 0.748 0.257
0.500 0.006 0.186
0.000 0.280 0.118
0.259 0.491 0.995
0.767 0.749 0.734
0.000 0.716 0.116
0.267 0.246 0.763
0.500 0.491 0.687
0.248 0.251 0.259
0.233 0.749 0.734
0.733 0.246 0.763
0.741 0.491 0.995
0.752 0.251 0.259
0.638 0.999 0.332
0.147 0.498 0.165
0.358 0.515 0.830
0.856 0.018 0.665
0.642 0.515 0.830
0.362 0.999 0.332
0.853 0.498 0.165
0.144 0.018 0.665
0.000 0.492 0.834
0.236 0.993 0.998
0.283 0.493 0.505
0.000 0.008 0.334
0.717 0.493 0.505
0.500 0.513 0.166
0.764 0.993 0.998
0.500 0.992 0.665
```

The calculation puts the volume at 15.093 Å³/atom. As for the space-group type: No. 6. The value obtained for the mass density is 5.573 g cm⁻³. As for the total energy: -0.5100 Ry per atom. As for the total moment: 30.000 Bohr magnetons per cell.